No. 1
An optimized crystal structure of Tb7Y2Mg2, computed with PBE.

Unit cell a=5.693 b=8.115 c=8.115 alpha=85.46 beta=73.99 gamma=73.99
Positions (direct):
Mg 0.785 0.443 0.443
Mg 0.215 0.557 0.557
Tb 0.000 0.000 0.000
Tb 0.672 0.774 0.774
Tb 0.185 0.602 0.012
Tb 0.185 0.012 0.602
Tb 0.815 0.988 0.398
Tb 0.328 0.226 0.226
Tb 0.815 0.398 0.988
Y 0.500 0.779 0.221
Y 0.500 0.221 0.779

Formation energy from the elements in eV/f.u.: 1.7
Calculated total energy in eV for the cell shown: -46.8
E above lowest polymorph in eV per atom: 0.072
Total magnetization in Bohr magnetons per cell: 0.0
Space-group type: No. 12
Crystal system: monoclinic
Density of states at the Fermi level in states/eV/atom: 1.269


No. 2
An optimized crystal structure of Tb7Y2Mg2, computed with PBE.

Unit cell a=8.565 b=9.940 c=9.940 alpha=55.21 beta=39.46 gamma=39.46
Positions (direct):
Y 0.890 0.847 0.847
Y 0.110 0.153 0.153
Tb 0.652 0.603 0.603
Tb 0.000 0.000 0.000
Tb 0.348 0.397 0.397
Tb 0.738 0.550 0.924
Tb 0.262 0.076 0.450
Tb 0.738 0.924 0.550
Tb 0.262 0.450 0.076
Mg 0.500 0.671 0.329
Mg 0.500 0.329 0.671

Formation energy from the elements in eV/f.u.: 1.0
Calculated total energy in eV for the cell shown: -47.6
E above lowest polymorph in eV per atom: 0.000
Total magnetization in Bohr magnetons per cell: 0.0
Space-group type: No. 12
Crystal system: monoclinic
Density of states at the Fermi level in states/eV/atom: 1.835


No. 3
An optimized crystal structure of Tb9Y2Mg, computed with PBE.

Unit cell a=4.995 b=4.995 c=15.088 alpha=90.00 beta=90.00 gamma=90.00
Positions (direct):
Y 0.000 0.000 0.331
Y 0.000 0.000 0.669
Tb 0.000 0.500 0.500
Tb 0.500 0.000 0.500
Tb 0.000 0.500 0.164
Tb 0.500 0.000 0.164
Tb 0.000 0.500 0.836
Tb 0.500 0.000 0.836
Tb 0.500 0.500 0.000
Tb 0.500 0.500 0.329
Tb 0.500 0.500 0.671
Mg 0.000 0.000 0.000

Formation energy from the elements in eV/f.u.: 0.3
Calculated total energy in eV for the cell shown: -55.9
Total magnetization in Bohr magnetons per cell: 0.0
Space-group type: No. 123
Crystal system: tetragonal
Density of states at the Fermi level in states/eV/atom: 1.456


No. 4
An optimized crystal structure of Tb5YMg2, computed with PBE.

Unit cell a=3.508 b=8.544 c=8.544 alpha=78.34 beta=78.15 gamma=78.15
Positions (direct):
Mg 0.737 0.763 0.763
Mg 0.263 0.237 0.237
Tb 0.367 0.860 0.406
Tb 0.367 0.406 0.860
Tb 0.633 0.140 0.594
Tb 0.633 0.594 0.140
Tb 0.000 0.500 0.500
Y 0.000 0.000 0.000

Formation energy from the elements in eV/f.u.: 0.3
Calculated total energy in eV for the cell shown: -32.5
Total magnetization in Bohr magnetons per cell: 0.0
Space-group type: No. 71
Crystal system: orthorhombic
Density of states at the Fermi level in states/eV/atom: 1.331


No. 5
An optimized crystal structure of TbY3Mg, computed with PBE.

Unit cell a=3.508 b=12.924 c=6.948 alpha=90.00 beta=90.00 gamma=97.79
Positions (direct):
Mg 0.685 0.871 0.250
Mg 0.315 0.129 0.750
Tb 0.501 0.503 0.250
Tb 0.499 0.497 0.750
Y 0.900 0.300 0.008
Y 0.100 0.700 0.508
Y 0.100 0.700 0.992
Y 0.900 0.300 0.492
Y 0.706 0.911 0.750
Y 0.294 0.089 0.250

Formation energy from the elements in eV/f.u.: 0.3
Calculated total energy in eV for the cell shown: -50.7
E above lowest polymorph in eV per atom: 0.083
Total magnetization in Bohr magnetons per cell: 0.0
Space-group type: No. 11
Crystal system: monoclinic
Density of states at the Fermi level in states/eV/atom: 1.377


No. 6
An optimized crystal structure of Tb2YMg9, computed with PBE.

Unit cell a=6.043 b=6.043 c=10.313 alpha=72.97 beta=72.97 gamma=60.00
Positions (direct):
Mg 0.414 0.414 0.252
Mg 0.586 0.586 0.748
Mg 0.414 0.921 0.252
Mg 0.500 0.500 0.500
Mg 0.921 0.414 0.252
Mg 0.334 0.334 0.998
Mg 0.586 0.079 0.748
Mg 0.666 0.666 0.002
Mg 0.079 0.586 0.748
Y 0.000 0.000 0.000
Tb 0.858 0.858 0.427
Tb 0.142 0.142 0.573

Formation energy from the elements in eV/f.u.: -0.5
Calculated total energy in eV for the cell shown: -30.5
Total magnetization in Bohr magnetons per cell: 0.0
Space-group type: No. 166
Crystal system: trigonal
Density of states at the Fermi level in states/eV/atom: 0.950


No. 7
An optimized crystal structure of TbY6Mg, computed with PBE.

Unit cell a=5.043 b=6.131 c=9.304 alpha=76.58 beta=74.28 gamma=65.71
Positions (direct):
Y 0.503 0.243 0.752
Y 0.497 0.757 0.248
Y 0.250 0.872 0.628
Y 0.756 0.612 0.876
Y 0.750 0.128 0.372
Y 0.244 0.388 0.124
Tb 0.000 0.500 0.500
Mg 0.000 0.000 0.000

Formation energy from the elements in eV/f.u.: 0.2
Calculated total energy in eV for the cell shown: -44.8
E above lowest polymorph in eV per atom: 0.000
Total magnetization in Bohr magnetons per cell: 0.0
Space-group type: No. 12
Crystal system: monoclinic
Density of states at the Fermi level in states/eV/atom: 1.736


No. 8
An optimized crystal structure of Tb5Y4Mg2, computed with PBE.

Unit cell a=3.570 b=11.539 c=13.055 alpha=138.77 beta=87.02 gamma=101.84
Positions (direct):
Tb 0.540 0.886 0.539
Tb 0.119 0.292 0.358
Tb 0.460 0.114 0.461
Tb 0.500 0.000 0.000
Tb 0.881 0.708 0.642
Y 0.116 0.173 0.901
Y 0.253 0.530 0.743
Y 0.747 0.470 0.257
Y 0.884 0.827 0.099
Mg 0.290 0.634 0.163
Mg 0.710 0.366 0.837

Formation energy from the elements in eV/f.u.: 0.4
Calculated total energy in eV for the cell shown: -51.8
Total magnetization in Bohr magnetons per cell: 0.0
Space-group type: No. 2
Crystal system: triclinic
Density of states at the Fermi level in states/eV/atom: 1.355


No. 9
An optimized crystal structure of Tb2Y2Mg, computed with PBE.

Unit cell a=5.127 b=5.127 c=13.119 alpha=101.27 beta=101.27 gamma=90.00
Positions (direct):
Y 0.078 0.578 0.156
Y 0.422 0.922 0.844
Y 0.672 0.672 0.344
Y 0.328 0.328 0.656
Tb 0.925 0.425 0.850
Tb 0.175 0.175 0.350
Tb 0.825 0.825 0.650
Tb 0.575 0.075 0.150
Mg 0.250 0.750 0.500
Mg 0.500 0.500 0.000

Formation energy from the elements in eV/f.u.: 1.0
Calculated total energy in eV for the cell shown: -45.6
E above lowest polymorph in eV per atom: 0.224
Total magnetization in Bohr magnetons per cell: 0.0
Space-group type: No. 141
Crystal system: tetragonal
Density of states at the Fermi level in states/eV/atom: 1.852


No. 10
An optimized crystal structure of Tb7YMg2, computed with PBE.

Unit cell a=5.268 b=9.294 c=9.294 alpha=123.79 beta=90.00 gamma=90.00
Positions (direct):
Tb 0.500 0.500 0.500
Tb 0.000 0.211 0.789
Tb 0.000 0.789 0.211
Tb 0.500 0.069 0.296
Tb 0.500 0.296 0.069
Tb 0.500 0.704 0.931
Tb 0.500 0.931 0.704
Mg 0.500 0.702 0.298
Mg 0.500 0.298 0.702
Y 0.000 0.000 0.000

Formation energy from the elements in eV/f.u.: 5.7
Calculated total energy in eV for the cell shown: -36.4
Total magnetization in Bohr magnetons per cell: 0.0
Space-group type: No. 65
Crystal system: orthorhombic
Density of states at the Fermi level in states/eV/atom: 1.718


No. 11
An optimized crystal structure of TbYMgZr, computed with PBE.

Unit cell a=5.367 b=5.367 c=5.367 alpha=60.00 beta=60.00 gamma=60.00
Last column: magnetic moment on the atom in μB.
Positions (direct):
Zr 0.000 0.000 0.000  0.90
Mg 0.500 0.500 0.500  -0.01
Y 0.250 0.250 0.250  0.24
Tb 0.750 0.750 0.750  0.28

Formation energy from the elements in eV/f.u.: 0.5
Calculated total energy in eV for the cell shown: -20.7
Total magnetization in Bohr magnetons per cell: 2.1
Space-group type: No. 216
Crystal system: cubic
Density of states at the Fermi level in states/eV/atom: 1.423


No. 12
An optimized crystal structure of TbMg6Zn6, computed with PBE.

Unit cell a=5.475 b=7.218 c=7.218 alpha=82.42 beta=67.71 gamma=67.71
Positions (direct):
Mg 0.696 0.804 0.804
Mg 0.653 0.347 0.347
Mg 0.000 0.346 0.654
Mg 0.347 0.653 0.653
Mg 0.304 0.196 0.196
Mg 0.000 0.654 0.346
Zn 0.500 0.000 0.500
Zn 0.500 0.224 0.776
Zn 0.500 0.776 0.224
Zn 0.000 0.500 0.000
Zn 0.500 0.500 0.000
Zn 0.000 0.000 0.500
Tb 0.000 0.000 0.000

Formation energy from the elements in eV/f.u.: -2.1
Calculated total energy in eV for the cell shown: -24.0
Total magnetization in Bohr magnetons per cell: 0.0
Space-group type: No. 71
Crystal system: orthorhombic
Density of states at the Fermi level in states/eV/atom: 0.304